Entry 1:
This record from the Alexandria database describes a geometry-optimized LiSnAs structure. The functional is PBE-GGA.

Values from the calculation:
- excess energy over the best structure of this formula in the dataset (meV per atom) = 0
- ΔE_f (eV per formula unit) = -1.12

```
LiSnAs
1.0
2.1266 1.2278 8.7318
-2.1266 1.2278 8.7318
0.0000 -2.4556 8.7318
Li Sn As
2 2 2
Cartesian
0.0000 0.0000 5.2186
0.0000 0.0000 20.9768
0.0000 0.0000 9.8668
0.0000 0.0000 16.3286
0.0000 0.0000 2.5489
0.0000 0.0000 23.6465
```


Entry 2:
This record from the Alexandria database describes a geometry-optimized LiSn2As structure. The functional is PBE-GGA.

Values from the calculation:
- ΔE_f (eV per formula unit) = -0.67

```
LiSn2As
1.0
3.9214 -2.4066 0.0000
3.9214 2.4066 0.0000
-2.6519 0.0000 5.6809
Li Sn As
1 2 1
Cartesian
0.0000 0.0000 0.0000
1.4779 0.0000 3.2499
4.1433 0.0000 2.1431
0.1085 0.0000 5.5327
```


Number 1: DOS(E_F) 0.26 states/eV per cell, E_tot -3.896 eV per atom. Number 2: DOS(E_F) 0.57 states/eV per cell, E_tot -3.810 eV per atom.